No. 1
{"formula": "CeIn3Pb", "functional": "GGA-PBE", "state": "relaxed", "spacegroup": "P-1, No. 2", "formation_enthalpy_0k_ev_per_atom": 0.170, "cell": [[-5.0417, -3.1519, 2.8899], [-0.1142, -6.3868, 1.1021], [0.1638, 4.4730, 5.0868]], "species": ["Ce", "In", "In", "In", "Pb"], "fractional_positions": [[0.0000, 0.0000, 0.0000], [0.0000, 0.0000, 0.5000], [0.0000, 0.5000, 0.5000], [0.0000, 0.5000, 0.0000], [0.5000, 0.0000, 0.0000]]}

---

No. 2
{"formula": "GdGaPb", "functional": "GGA-PBE", "state": "relaxed", "spacegroup": "P3m1, No. 156", "e_above_lowest_polymorph_ev_per_atom": 0.000, "formation_enthalpy_0k_ev_per_atom": -0.411, "cell": [[4.5072, 0.0000, 0.0000], [0.0000, 4.5019, 0.0000], [0.0000, -2.2510, 3.8988]], "species": ["Pb", "Ga", "Gd"], "fractional_positions": [[0.2747, 0.3333, 0.6667], [0.0216, 0.0000, 0.0000], [0.7037, 0.6667, 0.3333]]}

---

No. 3
{"formula": "AgPd14Se", "functional": "GGA-PBE", "state": "relaxed", "e_form_raw_ev_per_atom": 0.0023, "spacegroup": "Amm2, No. 38", "cell": [[-3.9673, 3.8522, 0.8435], [-1.4528, -5.4014, -0.0673], [1.4430, -0.5013, 9.0762]], "species": ["Pd", "Pd", "Pd", "Pd", "Pd", "Pd", "Pd", "Pd", "Pd", "Pd", "Pd", "Pd", "Pd", "Pd", "Ag", "Se"], "fractional_positions": [[0.3674, 0.6326, 0.2451], [0.3745, 0.1340, 0.2516], [0.8722, 0.1278, 0.2478], [0.8660, 0.6255, 0.2516], [0.8660, 0.6255, 0.7484], [0.6972, 0.3028, 0.0000], [0.0629, 0.4497, 0.5000], [0.5503, 0.9371, 0.5000], [0.8722, 0.1278, 0.7522], [0.3745, 0.1340, 0.7484], [0.3674, 0.6326, 0.7549], [0.1939, 0.8061, 0.0000], [0.6956, 0.8029, 0.0000], [0.1971, 0.3044, 0.0000], [0.0497, 0.9503, 0.5000], [0.5933, 0.4067, 0.5000]]}

---

No. 4
{"formula": "CuNiMo2", "functional": "GGA-PBE", "state": "relaxed", "spacegroup": "P4mm, No. 99", "formation_enthalpy_0k_ev_per_atom": 0.095, "cell": [[-0.0966, -0.1944, 2.6402], [1.6149, -2.0979, -0.0954], [6.1864, 4.7361, 0.5749]], "species": ["Mo", "Mo", "Ni", "Cu"], "fractional_positions": [[0.5000, 0.5000, 0.2786], [0.0000, 0.0000, 0.9825], [0.0000, 0.0000, 0.5094], [0.5000, 0.5000, 0.7295]]}

---

No. 5
{"formula": "CsRb2MgI5", "functional": "GGA-PBE", "state": "relaxed", "e_form_raw_ev_per_atom": -1.3635, "spacegroup": "I4/mcm, No. 140", "cell": [[10.1955, 0.0000, 0.0000], [0.0000, 10.1955, 0.0000], [-5.0978, -5.0978, 8.3483]], "species": ["Rb", "Rb", "Rb", "Rb", "Cs", "Cs", "I", "I", "I", "I", "I", "I", "I", "I", "I", "I", "Mg", "Mg"], "fractional_positions": [[0.1592, 0.3408, 0.0000], [0.6592, 0.1592, 0.0000], [0.8408, 0.6592, 0.0000], [0.3408, 0.8408, 0.0000], [0.2500, 0.2500, 0.5000], [0.7500, 0.7500, 0.5000], [0.2957, 0.7957, 0.2956], [0.7957, 0.9999, 0.2956], [0.0001, 0.5001, 0.7044], [0.5001, 0.7043, 0.7044], [0.2043, 0.0001, 0.7044], [0.4999, 0.2957, 0.2956], [0.9999, 0.4999, 0.2956], [0.0000, 0.0000, 0.0000], [0.7043, 0.2043, 0.7044], [0.5000, 0.5000, 0.0000], [0.2500, 0.7500, 0.5000], [0.7500, 0.2500, 0.5000]]}

---

No. 6
{"formula": "TiCrHg2Sb", "functional": "GGA-PBE", "state": "relaxed", "e_form_raw_ev_per_atom": 1.0659, "spacegroup": "P4/mmm, No. 123", "cell": [[-0.2435, -3.7616, 4.0188], [5.1532, 0.3670, 0.6557], [-0.7568, 4.0074, 3.7051]], "species": ["Hg", "Hg", "Cr", "Sb", "Ti"], "fractional_positions": [[0.0000, 0.0000, 0.5000], [0.5000, 0.0000, 0.0000], [0.5000, 0.5000, 0.5000], [0.0000, 0.0000, 0.0000], [0.0000, 0.5000, 0.0000]]}

---

No. 7
{"formula": "B5C7", "functional": "GGA-PBE", "state": "relaxed", "spacegroup": "P-4m2, No. 115", "e_above_lowest_polymorph_ev_per_atom": 0.109, "formation_enthalpy_0k_ev_per_atom": 0.367, "cell": [[2.5301, 0.0000, 0.0000], [0.0000, 2.5301, 0.0000], [0.0000, 0.0000, 12.3500]], "species": ["B", "B", "B", "B", "B", "C", "C", "C", "C", "C", "C", "C"], "fractional_positions": [[0.5000, 0.0000, 0.5900], [0.5000, 0.5000, 0.8566], [0.5000, 0.5000, 0.4768], [0.5000, 0.5000, 0.1667], [0.0000, 0.5000, 0.7434], [0.5000, 0.0000, 0.9374], [0.0000, 0.0000, 0.3233], [0.0000, 0.5000, 0.0812], [0.0000, 0.0000, 0.6667], [0.0000, 0.5000, 0.3959], [0.0000, 0.0000, 0.0100], [0.5000, 0.0000, 0.2522]]}

---

No. 8
{"formula": "Na5Ca3I12", "functional": "GGA-PBE", "state": "relaxed", "e_form_raw_ev_per_atom": -1.1818, "spacegroup": "Ia-3d, No. 230", "cell": [[-15.2353, 4.7314, -2.8353], [7.5688, -2.5705, -14.0942], [-0.1205, -13.7044, 8.6439]], "species": ["Na", "Na", "Na", "Na", "Na", "Na", "Na", "Na", "Na", "Na", "Na", "Na", "Na", "Na", "Na", "Na", "Na", "Na", "Na", "Na", "I", "I", "I", "I", "I", "I", "I", "I", "I", "I", "I", "I", "I", "I", "I", "I", "I", "I", "I", "I", "I", "I", "I", "I", "I", "I", "I", "I", "I", "I", "I", "I", "I", "I", "I", "I", "I", "I", "I", "I", "I", "I", "I", "I", "I", "I", "I", "I", "Ca", "Ca", "Ca", "Ca", "Ca", "Ca", "Ca", "Ca", "Ca", "Ca", "Ca", "Ca"], "fractional_positions": [[0.3750, 0.2500, 0.1250], [0.6250, 0.8750, 0.2500], [0.1250, 0.7500, 0.3750], [0.3750, 0.1250, 0.7500], [0.0000, 0.5000, 0.0000], [0.6250, 0.7500, 0.8750], [0.0000, 0.0000, 0.0000], [0.1250, 0.3750, 0.2500], [0.5000, 0.0000, 0.5000], [0.2500, 0.3750, 0.6250], [0.7500, 0.1250, 0.8750], [0.8750, 0.2500, 0.6250], [0.5000, 0.5000, 0.5000], [0.8750, 0.6250, 0.7500], [0.0000, 0.0000, 0.5000], [0.7500, 0.6250, 0.3750], [0.2500, 0.8750, 0.1250], [0.5000, 0.5000, 0.0000], [0.5000, 0.0000, 0.0000], [0.0000, 0.5000, 0.5000], [0.7272, 0.5988, 0.1760], [0.8715, 0.2728, 0.4488], [0.8715, 0.5988, 0.9228], [0.4012, 0.2728, 0.3240], [0.6760, 0.4488, 0.5772], [0.2728, 0.4012, 0.8240], [0.2272, 0.6760, 0.0988], [0.0772, 0.9012, 0.1285], [0.5772, 0.9488, 0.6760], [0.4488, 0.7728, 0.8715], [0.5512, 0.2272, 0.1285], [0.3715, 0.9488, 0.7728], [0.6760, 0.2272, 0.5988], [0.4228, 0.3715, 0.5988], [0.7272, 0.1285, 0.0512], [0.4488, 0.6760, 0.0772], [0.9488, 0.3715, 0.2728], [0.0988, 0.1760, 0.2272], [0.9488, 0.5772, 0.1760], [0.5988, 0.7272, 0.6760], [0.5988, 0.8715, 0.4228], [0.1760, 0.0772, 0.9488], [0.4228, 0.0512, 0.3240], [0.3240, 0.7728, 0.4012], [0.2728, 0.8715, 0.9488], [0.6285, 0.5772, 0.9012], [0.9228, 0.0988, 0.8715], [0.7728, 0.4488, 0.3715], [0.6285, 0.0512, 0.2272], [0.3715, 0.4228, 0.0988], [0.9012, 0.0772, 0.6285], [0.5772, 0.6285, 0.4012], [0.1285, 0.7272, 0.5512], [0.3240, 0.5512, 0.4228], [0.8240, 0.9228, 0.0512], [0.4012, 0.1285, 0.5772], [0.0988, 0.9228, 0.3715], [0.0512, 0.4228, 0.8240], [0.9012, 0.8240, 0.7728], [0.8240, 0.9012, 0.2728], [0.2272, 0.5512, 0.6285], [0.1760, 0.0988, 0.7272], [0.9228, 0.8240, 0.5512], [0.0512, 0.6285, 0.7272], [0.5512, 0.3240, 0.9228], [0.0772, 0.1760, 0.4488], [0.1285, 0.4012, 0.0772], [0.7728, 0.3240, 0.9012], [0.1250, 0.2500, 0.8750], [0.2500, 0.6250, 0.8750], [0.6250, 0.3750, 0.7500], [0.3750, 0.7500, 0.6250], [0.1250, 0.8750, 0.7500], [0.3750, 0.6250, 0.2500], [0.8750, 0.7500, 0.1250], [0.8750, 0.1250, 0.2500], [0.2500, 0.1250, 0.3750], [0.7500, 0.8750, 0.6250], [0.6250, 0.2500, 0.3750], [0.7500, 0.3750, 0.1250]]}